(1)
Compound: CsSn3F
Source: the Alexandria database
Functional: PBE
Structure: optimized geometry

a = 5.3194 Å, b = 5.3194 Å, c = 5.3194 Å
α = 90.00°, β = 90.00°, γ = 90.00°
Closest atoms and distances in Å follow each position.
Sites, in units of the cell vectors:
Cs 0.0000 0.0000 0.0000  12 Sn 3.76
Sn 0.0000 0.5000 0.5000  2 F 2.66
Sn 0.5000 0.0000 0.5000  2 F 2.66
Sn 0.5000 0.5000 0.0000  2 F 2.66
F 0.5000 0.5000 0.5000  6 Sn 2.66

The density is 5.60 Mg/m³. As for the size of the total moment: 0.0 Bohr magnetons per cell. The density of states at the Fermi level is 3.0 states/eV per cell. The calculation puts the formation energy from raw total energies at -0.28 eV/atom. The value obtained for the final energy is -3.222 eV/atom.


(2)
Compound: Cs2SnF4
Source: the Alexandria database
Functional: PBE
Structure: optimized geometry

a = 6.9563 Å, b = 6.7083 Å, c = 8.8151 Å
α = 90.00°, β = 113.03°, γ = 90.00°
Closest atoms and distances in Å follow each position.
Sites, in units of the cell vectors:
Cs 0.0761 0.2500 0.1643  3 F 2.88-2.92
Cs 0.2614 0.7500 0.4832  6 F 2.93-3.11
Cs 0.7386 0.2500 0.5168  6 F 2.93-3.11
Cs 0.9239 0.7500 0.8357  3 F 2.88-2.92
Sn 0.4114 0.2500 0.8170  4 F 2.11-2.35
Sn 0.5886 0.7500 0.1830  4 F 2.11-2.35
F 0.0863 0.2500 0.8404  1 Sn 2.35
F 0.2058 0.2500 0.5664  1 Sn 2.11
F 0.4350 0.5174 0.2639  1 Sn 2.16
F 0.4350 0.9826 0.2639  1 Sn 2.16
F 0.5650 0.0174 0.7361  1 Sn 2.16
F 0.5650 0.4826 0.7361  1 Sn 2.16
F 0.7942 0.7500 0.4336  1 Sn 2.11
F 0.9137 0.7500 0.1596  1 Sn 2.35

The density is 4.04 Mg/m³. As for the size of the total moment: 0.0 Bohr magnetons per cell. The density of states at the Fermi level is 0.0 states/eV per cell. The calculation puts the formation energy from raw total energies at -2.54 eV/atom. The value obtained for the final energy is -4.430 eV/atom.


(3)
Compound: Cs2SrSnF6
Source: the Alexandria database
Functional: PBE
Structure: optimized geometry

a = 4.8172 Å, b = 4.8172 Å, c = 9.6148 Å
α = 90.00°, β = 90.00°, γ = 90.00°
Closest atoms and distances in Å follow each position.
Sites, in units of the cell vectors:
Cs 0.0000 0.0000 0.2477  12 F 3.39-3.42
Cs 0.0000 0.0000 0.7523  12 F 3.39-3.42
Sr 0.5000 0.5000 0.5000  6 F 2.41-2.42
Sn 0.5000 0.5000 0.0000  6 F 2.38-2.41
F 0.0000 0.5000 0.0000  2 Sn 2.41
F 0.0000 0.5000 0.5000  2 Sr 2.41
F 0.5000 0.0000 0.0000  2 Sn 2.41
F 0.5000 0.0000 0.5000  2 Sr 2.41
F 0.5000 0.5000 0.2479  1 Sn 2.38, 1 Sr 2.42
F 0.5000 0.5000 0.7521  1 Sn 2.38, 1 Sr 2.42

The density is 4.36 Mg/m³. As for the size of the total moment: 0.0 Bohr magnetons per cell. The density of states at the Fermi level is 0.0 states/eV per cell. The calculation puts the formation energy from raw total energies at -2.95 eV/atom. The value obtained for the final energy is -4.813 eV/atom.


(4)
Compound: Cs2SrSnF6
Source: the Alexandria database
Functional: PBE
Structure: optimized geometry

a = 6.8125 Å, b = 6.8125 Å, c = 6.8125 Å
α = 60.00°, β = 60.00°, γ = 60.00°
Closest atoms and distances in Å follow each position.
Sites, in units of the cell vectors:
Cs 0.2500 0.2500 0.2500  12 F 3.41
Cs 0.7500 0.7500 0.7500  12 F 3.41
Sr 0.0000 0.0000 0.0000  6 F 2.41
Sn 0.5000 0.5000 0.5000  6 F 2.40
F 0.2506 0.2506 0.7494  1 Sn 2.40, 1 Sr 2.41
F 0.2506 0.7494 0.2506  1 Sn 2.40, 1 Sr 2.41
F 0.2506 0.7494 0.7494  1 Sn 2.40, 1 Sr 2.41
F 0.7494 0.2506 0.2506  1 Sn 2.40, 1 Sr 2.41
F 0.7494 0.2506 0.7494  1 Sn 2.40, 1 Sr 2.41
F 0.7494 0.7494 0.2506  1 Sn 2.40, 1 Sr 2.41

The density is 4.35 Mg/m³. As for the size of the total moment: 0.0 Bohr magnetons per cell. The density of states at the Fermi level is 0.0 states/eV per cell. The calculation puts the formation energy from raw total energies at -2.95 eV/atom. The value obtained for the final energy is -4.809 eV/atom.